CdW2NF | GGA+U | optimized geometry

## Properties
- final energy (eV per atom) = -3.361
- D(E_F) (states/eV per cell) = 2.82
- space-group type = P4/mmm, No. 123

abc: 4.3764 4.3764 4.7921
angles: 90.00 90.00 90.00
Last column: nearest neighbours and their distance in Å.
Element x y z (fractional)
Cd 0.0000 0.0000 0.0000  2 F 2.40
W 0.0000 0.5000 0.5000  2 F 2.19
W 0.5000 0.0000 0.5000  2 F 2.19
N 0.5000 0.5000 0.0000  4 Cd 3.09, 8 W 3.24
F 0.0000 0.0000 0.5000  4 W 2.19, 2 Cd 2.40